(1)
## TbZrMnZn (GGA-PBE)

Data for crystalline TbZrMnZn at its relaxed geometry.

The space group is F-43m (No. 216) and the conventional cell measures 6.8379, 6.8379 and 6.8379 Å, with angles of 90.00, 90.00 and 90.00 degrees. The distinct sites, in fractional coordinates, are Tb at (0.0000, 0.0000, 0.0000), Zr at (0.0000, 0.0000, 0.5000), Mn at (0.2500, 0.2500, 0.7500) and Zn at (0.2500, 0.2500, 0.2500).

***

(2)
## TbZrMn (GGA-PBE)

Data for crystalline TbZrMn at its relaxed geometry.

For the energy above the most stable polymorph in this dataset, the calculation gives 185 meV/atom.

The space group is Pmmm (No. 47) and the conventional cell measures 3.1600, 4.2367 and 5.2873 Å, with angles of 90.00, 90.00 and 90.00 degrees. The distinct sites, in fractional coordinates, are Tb at (0.0000, 0.0000, 0.0000), Zr at (0.0000, 0.5000, 0.5000) and Mn at (0.5000, 0.0000, 0.5000).

***

(3)
## TbZrMn2 (GGA-PBE)

Data for crystalline TbZrMn2 at its relaxed geometry.

The space group is P4/mmm (No. 123) and the conventional cell measures 3.3958, 3.3958 and 6.7408 Å, with angles of 90.00, 90.00 and 90.00 degrees. The distinct sites, in fractional coordinates, are Tb at (0.0000, 0.0000, 0.0000), Zr at (0.0000, 0.0000, 0.5000) and Mn at (0.5000, 0.5000, 0.2914).

***

(4)
## TbZrMn (GGA-PBE)

Data for crystalline TbZrMn at its relaxed geometry.

For the energy above the most stable polymorph in this dataset, the calculation gives 0 meV/atom.

The space group is I4mm (No. 107) and the conventional cell measures 3.4757, 3.4757 and 11.0728 Å, with angles of 90.00, 90.00 and 90.00 degrees. The distinct sites, in fractional coordinates, are Tb at (0.0000, 0.0000, 0.0000), Zr at (0.0000, 0.0000, 0.2837) and Mn at (0.0000, 0.0000, 0.6800).

***

(5)
## TbZrMn2 (GGA-PBE)

Data for crystalline TbZrMn2 at its relaxed geometry.

The space group is P4/mmm (No. 123) and the conventional cell measures 4.8329, 4.8329 and 3.3247 Å, with angles of 90.00, 90.00 and 90.00 degrees. The distinct sites, in fractional coordinates, are Tb at (0.0000, 0.0000, 0.0000), Zr at (0.5000, 0.5000, 0.0000) and Mn at (0.0000, 0.5000, 0.5000).

***

(6)
## MnTc (GGA-PBE)

Data for crystalline MnTc at its relaxed geometry.

The space group is Pnma (No. 62) and the conventional cell measures 9.2301, 4.2931 and 5.4269 Å, with angles of 90.00, 90.00 and 90.00 degrees. The distinct sites, in fractional coordinates, are Mn at (0.0894, 0.2500, 0.2354), Mn at (0.1607, 0.7500, 0.0008), Tc at (0.0881, 0.2500, 0.7411) and Tc at (0.1600, 0.7500, 0.5025).

***

(7)
## MnTc (GGA-PBE)

Data for crystalline MnTc at its relaxed geometry.

The space group is P6_3/mmc (No. 194) and the conventional cell measures 3.7601, 3.7601 and 4.6388 Å, with angles of 90.00, 90.00 and 120.00 degrees. The distinct sites, in fractional coordinates, are Mn at (0.0000, 0.0000, 0.0000) and Tc at (0.3333, 0.6667, 0.2500).

***

(8)
## Mn4Tc5 (GGA-PBE)

Data for crystalline Mn4Tc5 at its relaxed geometry.

For the energy above the most stable polymorph in this dataset, the calculation gives 47 meV/atom.

The space group is I4/mmm (No. 139) and the conventional cell measures 8.9651, 8.9651 and 3.0703 Å, with angles of 90.00, 90.00 and 90.00 degrees. The distinct sites, in fractional coordinates, are Mn at (0.0000, 0.3348, 0.0000), Tc at (0.0000, 0.0000, 0.0000) and Tc at (0.1682, 0.1682, 0.5000).

***

Number 1: energy of formation from the pure elements -0.009 eV/atom. Number 2: energy of formation from the pure elements 0.338 eV/atom. Number 3: energy of formation from the pure elements 0.099 eV/atom. Number 4: energy of formation from the pure elements 0.153 eV/atom. Number 5: energy of formation from the pure elements 0.184 eV/atom. Number 6: energy of formation from the pure elements 0.064 eV/atom. Number 7: energy of formation from the pure elements 0.604 eV/atom. Number 8: energy of formation from the pure elements 0.164 eV/atom.